P | # ReGePO2

Crystalline ReGePO2 at its relaxed geometry (PBE-GGA, Alexandria).

Cell: 3.8129 3.8129 5.1065 Å, 90.00 90.00 90.00°
Last column: nearest neighbours and their distance in Å.
Sites, in units of the cell vectors:
Re  0.0000  0.0000  0.0000  4 O 1.91
Ge  0.5000  0.5000  0.5000  4 P 2.70
P  0.0000  0.0000  0.5000  2 Re 2.55, 4 Ge 2.70
O  0.0000  0.5000  0.0000  2 Re 1.91
O  0.5000  0.0000  0.0000  2 Re 1.91

Computed properties:
crystal system	tetragonal

Q | # ReGePO2

Crystalline ReGePO2 at its relaxed geometry (PBE-GGA, Alexandria).

Cell: 3.4868 3.4868 7.0022 Å, 90.00 90.00 90.00°
Last column: nearest neighbours and their distance in Å.
Sites, in units of the cell vectors:
Re  0.0000  0.0000  0.0000  4 P 2.47
Ge  0.5000  0.5000  0.5000  4 O 1.74
P  0.5000  0.5000  0.0000  4 Re 2.47
O  0.0000  0.5000  0.5000  2 Ge 1.74
O  0.5000  0.0000  0.5000  2 Ge 1.74

Computed properties:
crystal system	tetragonal

Verdict on stability: Q comes out at the bottom.